(1)
This record from the Alexandria database describes a geometry-optimized CePmLuAl structure. The functional is PBE-GGA.

Cell and atoms, written as POSCAR:
```
CePmLuAl
1.0
0.000 3.790 3.790
3.790 0.000 3.790
3.790 3.790 0.000
Ce Pm Lu Al
1 1 1 1
Cartesian
0.000 0.000 0.000
3.790 3.790 3.790
1.895 1.895 1.895
5.685 5.685 5.685
```

Results
Total moment in μB per formula unit: 0.75
Total DFT energy (no corrections) in eV per atom: -4.775
DFT formation energy in eV/atom: -0.038
Crystal system: cubic

(2)
This record from the Alexandria database describes a geometry-optimized CeLuPuAl structure. The functional is PBE-GGA.

Cell and atoms, written as POSCAR:
```
CeLuPuAl
1.0
0.000 3.648 3.648
3.648 0.000 3.648
3.648 3.648 0.000
Ce Lu Pu Al
1 1 1 1
Cartesian
0.000 0.000 0.000
1.824 1.824 1.824
5.472 5.472 5.472
3.648 3.648 3.648
```

Results
Total moment in μB per formula unit: 7.85
Total DFT energy (no corrections) in eV per atom: -7.149
DFT formation energy in eV/atom: -0.017
Crystal system: cubic

(3)
This record from the Alexandria database describes a geometry-optimized CeLuAlRh structure. The functional is PBE-GGA.

Cell and atoms, written as POSCAR:
```
CeLuAlRh
1.0
0.000 3.519 3.519
3.519 0.000 3.519
3.519 3.519 0.000
Ce Lu Al Rh
1 1 1 1
Cartesian
0.000 0.000 0.000
3.519 3.519 3.519
5.278 5.278 5.278
1.759 1.759 1.759
```

Results
Total moment in μB per formula unit: 0.25
Total DFT energy (no corrections) in eV per atom: -5.878
DFT formation energy in eV/atom: -0.491
Crystal system: cubic

(4)
This record from the Alexandria database describes a geometry-optimized CeLuAlRu structure. The functional is PBE-GGA.

Cell and atoms, written as POSCAR:
```
CeLuAlRu
1.0
0.000 3.493 3.493
3.493 0.000 3.493
3.493 3.493 0.000
Ce Lu Al Ru
1 1 1 1
Cartesian
0.000 0.000 0.000
3.493 3.493 3.493
1.746 1.746 1.746
5.239 5.239 5.239
```

Results
Total moment in μB per formula unit: 0.00
Total DFT energy (no corrections) in eV per atom: -6.187
DFT formation energy in eV/atom: -0.319
Crystal system: cubic

(5)
This record from the Alexandria database describes a geometry-optimized CeLuThAl structure. The functional is PBE-GGA.

Cell and atoms, written as POSCAR:
```
CeLuThAl
1.0
0.000 3.799 3.799
3.799 0.000 3.799
3.799 3.799 0.000
Ce Lu Th Al
1 1 1 1
Cartesian
0.000 0.000 0.000
5.698 5.698 5.698
3.799 3.799 3.799
1.899 1.899 1.899
```

Results
Total moment in μB per formula unit: 0.98
Total DFT energy (no corrections) in eV per atom: -5.378
DFT formation energy in eV/atom: 0.026
Crystal system: cubic

(6)
This record from the Alexandria database describes a geometry-optimized CeLuTiAl structure. The functional is PBE-GGA.

Cell and atoms, written as POSCAR:
```
CeLuTiAl
1.0
0.000 3.611 3.611
3.611 0.000 3.611
3.611 3.611 0.000
Ce Lu Ti Al
1 1 1 1
Cartesian
0.000 0.000 0.000
3.611 3.611 3.611
1.805 1.805 1.805
5.416 5.416 5.416
```

Results
Total moment in μB per formula unit: 3.06
Total DFT energy (no corrections) in eV per atom: -5.559
DFT formation energy in eV/atom: -0.036
Crystal system: cubic

(7)
This record from the Alexandria database describes a geometry-optimized CeLuAlZn structure. The functional is PBE-GGA.

Cell and atoms, written as POSCAR:
```
CeLuAlZn
1.0
0.000 3.577 3.577
3.577 0.000 3.577
3.577 3.577 0.000
Ce Lu Al Zn
1 1 1 1
Cartesian
0.000 0.000 0.000
3.577 3.577 3.577
1.789 1.789 1.789
5.366 5.366 5.366
```

Results
Total moment in μB per formula unit: 0.29
Total DFT energy (no corrections) in eV per atom: -4.183
DFT formation energy in eV/atom: -0.315
Crystal system: cubic

(8)
This record from the Alexandria database describes a geometry-optimized CeLuZrAl structure. The functional is PBE-GGA.

Cell and atoms, written as POSCAR:
```
CeLuZrAl
1.0
0.000 3.636 3.636
3.636 0.000 3.636
3.636 3.636 0.000
Ce Lu Zr Al
1 1 1 1
Cartesian
0.000 0.000 0.000
3.636 3.636 3.636
5.453 5.453 5.453
1.818 1.818 1.818
```

Results
Total moment in μB per formula unit: 0.00
Total DFT energy (no corrections) in eV per atom: -5.724
DFT formation energy in eV/atom: -0.037
Crystal system: cubic

(9)
This record from the Alexandria database describes a geometry-optimized CeMgAl structure. The functional is PBE-GGA.

Cell and atoms, written as POSCAR:
```
CeMgAl
1.0
4.972 0.000 0.000
-2.486 4.306 0.000
0.000 0.000 3.284
Ce Mg Al
1 1 1
Cartesian
0.000 0.000 0.000
2.486 1.435 1.642
0.000 2.870 1.642
```

Results
Total moment in μB per formula unit: 1.01
Total DFT energy (no corrections) in eV per atom: -3.922
DFT formation energy in eV/atom: -0.165
Crystal system: hexagonal

(10)
This record from the Alexandria database describes a geometry-optimized Ce6MgAl2 structure. The functional is PBE-GGA.

Cell and atoms, written as POSCAR:
```
Ce6MgAl2
1.0
9.085 0.000 0.000
-4.543 7.868 0.000
0.000 0.000 2.961
Ce Mg Al
6 1 2
Cartesian
-1.571 2.722 0.000
-2.971 5.146 0.000
3.143 0.000 0.000
1.571 2.722 0.000
5.942 0.000 0.000
2.971 5.146 0.000
0.000 0.000 1.481
0.000 5.245 1.481
4.543 2.623 1.481
```

Results
Total moment in μB per formula unit: 1.68
Total DFT energy (no corrections) in eV per atom: -5.095
DFT formation energy in eV/atom: -0.130
Crystal system: hexagonal

(11)
This record from the Alexandria database describes a geometry-optimized CeMgAl structure. The functional is PBE-GGA.

Cell and atoms, written as POSCAR:
```
CeMgAl
1.0
-1.576 1.576 6.838
1.576 -1.576 6.838
1.576 1.576 -6.838
Ce Mg Al
1 1 1
Cartesian
0.000 0.000 0.000
0.000 0.000 4.171
0.000 0.000 9.045
```

Results
Total moment in μB per formula unit: 0.45
Total DFT energy (no corrections) in eV per atom: -3.870
DFT formation energy in eV/atom: -0.113
Crystal system: tetragonal

(12)
This record from the Alexandria database describes a geometry-optimized CeMgAl structure. The functional is PBE-GGA.

Cell and atoms, written as POSCAR:
```
CeMgAl
1.0
-1.517 1.517 14.159
1.517 -1.517 14.159
1.517 1.517 -14.159
Ce Mg Al
2 2 2
Cartesian
0.000 0.000 1.360
0.000 0.000 26.958
0.000 0.000 5.874
0.000 0.000 22.444
0.000 0.000 10.396
0.000 0.000 17.922
```

Results
Total moment in μB per formula unit: 0.00
Total DFT energy (no corrections) in eV per atom: -3.799
DFT formation energy in eV/atom: -0.042
Crystal system: tetragonal

(13)
This record from the Alexandria database describes a geometry-optimized Ce2MgAl structure. The functional is PBE-GGA.

Cell and atoms, written as POSCAR:
```
Ce2MgAl
1.0
4.438 0.000 0.000
0.000 4.438 0.000
0.000 0.000 4.841
Ce Mg Al
2 1 1
Cartesian
0.000 2.219 0.000
2.219 0.000 0.000
0.000 0.000 2.421
2.219 2.219 2.421
```

Results
Total moment in μB per formula unit: 0.01
Total DFT energy (no corrections) in eV per atom: -4.442
DFT formation energy in eV/atom: -0.140
Crystal system: tetragonal

Number 1: Fermi-level density of states 2.231 states/eV/atom. Number 2: Fermi-level density of states 2.484 states/eV/atom. Number 3: Fermi-level density of states 1.148 states/eV/atom. Number 4: Fermi-level density of states 1.065 states/eV/atom. Number 5: Fermi-level density of states 2.247 states/eV/atom. Number 6: Fermi-level density of states 1.598 states/eV/atom. Number 7: Fermi-level density of states 1.226 states/eV/atom. Number 8: Fermi-level density of states 0.854 states/eV/atom. Number 9: Fermi-level density of states 2.117 states/eV/atom. Number 10: Fermi-level density of states 2.384 states/eV/atom. Number 11: Fermi-level density of states 1.493 states/eV/atom. Number 12: Fermi-level density of states 1.409 states/eV/atom. Number 13: Fermi-level density of states 1.893 states/eV/atom.